[1]
# Li2Mg9Tl (PBE, optimized geometry)
data_Li2Mg9Tl
_cell_length_a 5.035
_cell_length_b 7.638
_cell_length_c 7.685
_cell_angle_alpha 82.71
_cell_angle_beta 72.47
_cell_angle_gamma 86.02
_space_group_name_H-M_alt 'P -1'
_space_group_IT_number 2
_space_group_name_Hall '-P 1'
loop_
_atom_site_label
_atom_site_fract_x
_atom_site_fract_y
_atom_site_fract_z
_atom_site_occupancy
Li1 0.243 0.347 0.468 1
Mg1 0.000 0.000 0.500 1
Mg2 0.045 0.172 0.876 1
Mg3 0.117 0.607 0.764 1
Mg4 0.374 0.707 0.326 1
Mg5 0.444 0.115 0.153 1
Tl1 0.500 0.500 0.000 1
# DFT formation energy	3.28	kJ per mole of atoms
# calculated density	2.60	g/cm³
# total magnetic moment	0.0	μB per cell
# final energy	-20.14	eV/cell

[2]
# LiMg2Tl (PBE, optimized geometry)
data_LiMg2Tl
_cell_length_a 8.071
_cell_length_b 8.071
_cell_length_c 5.968
_cell_angle_alpha 90.00
_cell_angle_beta 90.00
_cell_angle_gamma 90.00
_space_group_name_H-M_alt 'I -4 2 d'
_space_group_IT_number 122
_space_group_name_Hall 'I -4 2bw'
loop_
_atom_site_label
_atom_site_fract_x
_atom_site_fract_y
_atom_site_fract_z
_atom_site_occupancy
Li1 0.000 0.000 0.000 1
Mg1 0.243 0.750 0.125 1
Tl1 0.000 0.000 0.500 1
# DFT formation energy	8.97	kJ per mole of atoms
# calculated density	4.44	g/cm³
# total magnetic moment	0.0	μB per cell
# E above lowest polymorph	0.89	eV/f.u.
# final energy	-28.39	eV/cell

[3]
# Li2Mg2Tl (PBE, optimized geometry)
data_Li2Mg2Tl
_cell_length_a 5.035
_cell_length_b 5.051
_cell_length_c 5.414
_cell_angle_alpha 66.71
_cell_angle_beta 66.80
_cell_angle_gamma 67.00
_space_group_name_H-M_alt 'P -1'
_space_group_IT_number 2
_space_group_name_Hall '-P 1'
loop_
_atom_site_label
_atom_site_fract_x
_atom_site_fract_y
_atom_site_fract_z
_atom_site_occupancy
Li1 0.000 0.000 0.000 1
Li2 0.500 0.500 0.000 1
Mg1 0.116 0.613 0.647 1
Tl1 0.500 0.000 0.500 1
# DFT formation energy	-5.95	kJ per mole of atoms
# calculated density	3.97	g/cm³
# total magnetic moment	0.0	μB per cell
# E above lowest polymorph	0.00	eV/f.u.
# final energy	-9.69	eV/cell

[4]
# LiMg9Tl2 (PBE, optimized geometry)
data_LiMg9Tl2
_cell_length_a 4.481
_cell_length_b 4.481
_cell_length_c 13.619
_cell_angle_alpha 90.00
_cell_angle_beta 90.00
_cell_angle_gamma 90.00
_space_group_name_H-M_alt 'P 4/m m m'
_space_group_IT_number 123
_space_group_name_Hall '-P 4 2'
loop_
_atom_site_label
_atom_site_fract_x
_atom_site_fract_y
_atom_site_fract_z
_atom_site_occupancy
Li1 0.000 0.000 0.000 1
Mg1 0.000 0.500 0.162 1
Mg2 0.000 0.500 0.500 1
Mg3 0.500 0.500 0.000 1
Mg4 0.500 0.500 0.332 1
Tl1 0.000 0.000 0.331 1
# DFT formation energy	-2.77	kJ per mole of atoms
# calculated density	3.85	g/cm³
# total magnetic moment	0.0	μB per cell
# final energy	-21.34	eV/cell

[5]
# Li2MgTl2 (PBE, optimized geometry)
data_Li2MgTl2
_cell_length_a 8.551
_cell_length_b 4.914
_cell_length_c 5.895
_cell_angle_alpha 90.00
_cell_angle_beta 119.46
_cell_angle_gamma 90.00
_space_group_name_H-M_alt 'C 1 2/m 1'
_space_group_IT_number 12
_space_group_name_Hall '-C 2y'
loop_
_atom_site_label
_atom_site_fract_x
_atom_site_fract_y
_atom_site_fract_z
_atom_site_occupancy
Li1 0.091 0.000 0.278 1
Mg1 0.000 0.500 0.500 1
Tl1 0.220 0.500 0.162 1
# DFT formation energy	-13.88	kJ per mole of atoms
# calculated density	6.88	g/cm³
# total magnetic moment	0.0	μB per cell
# E above lowest polymorph	0.01	eV/f.u.
# final energy	-21.75	eV/cell

[6]
# Li5Mg2Tl (PBE, optimized geometry)
data_Li5Mg2Tl
_cell_length_a 4.794
_cell_length_b 4.794
_cell_length_c 13.480
_cell_angle_alpha 90.00
_cell_angle_beta 90.00
_cell_angle_gamma 90.00
_space_group_name_H-M_alt 'I 4/m m m'
_space_group_IT_number 139
_space_group_name_Hall '-I 4 2'
loop_
_atom_site_label
_atom_site_fract_x
_atom_site_fract_y
_atom_site_fract_z
_atom_site_occupancy
Li1 0.000 0.000 0.000 1
Li2 0.000 0.500 0.117 1
Mg1 0.000 0.000 0.255 1
Tl1 0.000 0.000 0.500 1
# DFT formation energy	-13.37	kJ per mole of atoms
# calculated density	3.08	g/cm³
# total magnetic moment	0.0	μB per cell
# final energy	-32.47	eV/cell